Arrangement w

Below is a relaxed LiCI3 crystal, with properties calculated at the PBE level.

Lattice parameters (Å, degrees): 5.378 5.378 5.378 90.00 90.00 90.00
Positions (direct):
Li: 0.000 0.000 0.000
C: 0.500 0.500 0.500
I: 0.000 0.000 0.500
I: 0.000 0.500 0.000
I: 0.500 0.000 0.000



Arrangement x

Below is a relaxed LiCI3 crystal, with properties calculated at the PBE level.

Lattice parameters (Å, degrees): 5.204 5.204 5.204 90.00 90.00 90.00
Positions (direct):
Li: 0.000 0.000 0.000
C: 0.500 0.500 0.500
I: 0.000 0.500 0.500
I: 0.500 0.000 0.500
I: 0.500 0.500 0.000



Relative energies in meV per atom: arrangement w 696; arrangement x 0



Arrangement w

Below is a relaxed Li2CI crystal, with properties calculated at the PBE level.

Lattice parameters (Å, degrees): 6.420 6.420 6.420 90.00 90.00 90.00
Positions (direct):
Li: 0.250 0.250 0.250
Li: 0.250 0.250 0.750
Li: 0.250 0.750 0.250
Li: 0.250 0.750 0.750
Li: 0.750 0.250 0.250
Li: 0.750 0.250 0.750
Li: 0.750 0.750 0.250
Li: 0.750 0.750 0.750
C: 0.000 0.000 0.000
C: 0.000 0.500 0.500
C: 0.500 0.000 0.500
C: 0.500 0.500 0.000
I: 0.000 0.000 0.500
I: 0.000 0.500 0.000
I: 0.500 0.000 0.000
I: 0.500 0.500 0.500



Arrangement x

Below is a relaxed Li2CI crystal, with properties calculated at the PBE level.

Lattice parameters (Å, degrees): 8.255 8.255 5.098 90.00 90.00 90.00
Positions (direct):
Li: 0.001 0.250 0.125
Li: 0.250 0.501 0.375
Li: 0.250 0.999 0.875
Li: 0.499 0.250 0.625
Li: 0.501 0.750 0.625
Li: 0.750 0.001 0.875
Li: 0.750 0.499 0.375
Li: 0.999 0.750 0.125
C: 0.000 0.000 0.000
C: 0.000 0.500 0.250
C: 0.500 0.000 0.750
C: 0.500 0.500 0.500
I: 0.000 0.000 0.500
I: 0.000 0.500 0.750
I: 0.500 0.000 0.250
I: 0.500 0.500 0.000



Relative energies in meV per atom: arrangement w 253; arrangement x 0